1.
TmInPbS3 (PBE-GGA, optimized geometry); calculated density = 6.2 Mg/m³; crystal system = orthorhombic; VASP energy = -4.9026 eV/atom
1.0
-5.347 -0.956 5.321
2.712 -1.439 -6.956
5.450 -8.671 3.919
In Pb S Tm
2 2 6 2
direct
0.858 0.142 0.250 In
0.142 0.858 0.750 In
0.178 0.822 0.250 Pb
0.822 0.178 0.750 Pb
0.126 0.874 0.003 S
0.485 0.515 0.250 S
0.126 0.874 0.497 S
0.874 0.126 0.503 S
0.515 0.485 0.750 S
0.874 0.126 0.997 S
0.500 0.500 0.000 Tm
0.500 0.500 0.500 Tm



2.
ZrInPbS3 (PBE-GGA, optimized geometry); calculated density = 5.5 Mg/m³; crystal system = orthorhombic; VASP energy = -5.3900 eV/atom
1.0
1.825 -7.800 0.000
1.825 7.800 0.000
0.000 0.000 10.842
In Pb S Zr
2 2 6 2
direct
0.644 0.356 0.250 In
0.356 0.644 0.750 In
0.324 0.676 0.250 Pb
0.676 0.324 0.750 Pb
0.384 0.616 0.004 S
0.012 0.988 0.250 S
0.384 0.616 0.496 S
0.616 0.384 0.504 S
0.988 0.012 0.750 S
0.616 0.384 0.996 S
0.000 0.000 0.000 Zr
0.000 0.000 0.500 Zr